A geometry-optimized Y2WF structure, computed with PBE+U.

```
Y2WF
1.0
7.2785 0.0000 0.0000
0.0000 7.2785 0.0000
0.0000 0.0000 7.2785
Y W F
8 4 4
direct
0.2500 0.2500 0.2500 Y
0.2500 0.2500 0.7500 Y
0.2500 0.7500 0.2500 Y
0.2500 0.7500 0.7500 Y
0.7500 0.2500 0.2500 Y
0.7500 0.2500 0.7500 Y
0.7500 0.7500 0.2500 Y
0.7500 0.7500 0.7500 Y
0.0000 0.0000 0.0000 W
0.0000 0.5000 0.5000 W
0.5000 0.0000 0.5000 W
0.5000 0.5000 0.0000 W
0.0000 0.0000 0.5000 F
0.0000 0.5000 0.0000 F
0.5000 0.0000 0.0000 F
0.5000 0.5000 0.5000 F
```

Results
E above lowest polymorph   0.555 eV per atom
Total energy   -5.572 eV per atom